This record from the Alexandria database describes crystalline Ca2SiTc at its relaxed geometry. The functional is GGA-PBE.

abc: 3.355 3.355 8.342
angles: 90.00 90.00 90.00
Space group P4mm (No. 99)
Unique sites:
Ca 0.000 0.000 0.000 x1
Ca 0.500 0.500 0.405 x1
Si 0.000 0.000 0.649 x1
Tc 0.500 0.500 0.748 x1

Calculated values
Crystal system   tetragonal
Uncorrected formation energy   -172 meV/atom
VASP energy   -20.5 eV per cell